Entry 1:
This record from Alexandria describes an optimized crystal structure of Sm2ZnSi. The functional is PBE.

Unit cell a=3.7595 b=4.9845 c=4.9845 alpha=90.00 beta=90.00 gamma=90.00
Sites, in units of the cell vectors:
1 Zn 0.5000 0.5000 0.5000
2 Si 0.5000 0.0000 0.0000
3 Sm 0.0000 0.0000 0.5000
4 Sm 0.0000 0.5000 0.0000

M_tot = 0.00 μB/cell

=====

Entry 2:
This record from Alexandria describes an optimized crystal structure of Sm3ZnSi3. The functional is PBE.

Unit cell a=3.9926 b=4.3018 c=9.5354 alpha=103.04 beta=102.08 gamma=90.00
Sites, in units of the cell vectors:
1 Sm 0.3139 0.8139 0.6278
2 Sm 0.6840 0.1840 0.3679
3 Sm 0.0041 0.0041 0.0081
4 Zn 0.4332 0.4332 0.8664
5 Si 0.1428 0.6428 0.2855
6 Si 0.8576 0.3576 0.7153
7 Si 0.5644 0.5644 0.1289

M_tot = 0.46 μB/cell

=====

no.,uncorrected energy (eV per cell)
1,-17.932
2,-36.579